(1)
Entry from Alexandria: crystalline La2ThNpAs4 at its relaxed geometry (PBE).

The structure in CIF format:
```
data_La2ThNpAs4
_space_group_name_H-M_alt 'P 1 2/m 1'
_space_group_IT_number 10
_space_group_name_Hall '-P 2y'
_cell_length_a 7.394
_cell_length_b 4.271
_cell_length_c 7.443
_cell_angle_alpha 90.00
_cell_angle_beta 109.35
_cell_angle_gamma 90.00
loop_
_atom_site_label
_atom_site_fract_x
_atom_site_fract_y
_atom_site_fract_z
La1 0.000 0.000 0.000
La2 0.500 0.500 0.000
Th1 0.000 0.500 0.500
Np1 0.500 0.000 0.500
As1 0.250 0.000 0.739
As2 0.259 0.500 0.264
```

## Properties
**Formation energy from the elements**: -1.308 eV/atom



(2)
Entry from Alexandria: crystalline La2YNpAs4 at its relaxed geometry (PBE).

The structure in CIF format:
```
data_La2YNpAs4
_space_group_name_H-M_alt 'P 1 2/m 1'
_space_group_IT_number 10
_space_group_name_Hall '-P 2y'
_cell_length_a 7.342
_cell_length_b 4.240
_cell_length_c 7.360
_cell_angle_alpha 90.00
_cell_angle_beta 109.32
_cell_angle_gamma 90.00
loop_
_atom_site_label
_atom_site_fract_x
_atom_site_fract_y
_atom_site_fract_z
La1 0.000 0.000 0.000
La2 0.500 0.500 0.000
Y1 0.000 0.500 0.500
Np1 0.500 0.000 0.500
As1 0.248 0.000 0.735
As2 0.257 0.500 0.267
```

## Properties
**Formation energy from the elements**: -1.326 eV/atom



(3)
Entry from Alexandria: crystalline LaAsO3 at its relaxed geometry (PBE).

The structure in CIF format:
```
data_LaAsO3
_space_group_name_H-M_alt 'P m -3 m'
_space_group_IT_number 221
_space_group_name_Hall '-P 4 2 3'
_cell_length_a 4.464
_cell_length_b 4.464
_cell_length_c 4.464
_cell_angle_alpha 90.00
_cell_angle_beta 90.00
_cell_angle_gamma 90.00
loop_
_atom_site_label
_atom_site_fract_x
_atom_site_fract_y
_atom_site_fract_z
La1 0.000 0.000 0.000
As1 0.500 0.500 0.500
O1 0.000 0.000 0.500
```

## Properties
**Formation energy without anion corrections**: -0.795 eV/atom



(4)
Entry from Alexandria: crystalline La3AsO at its relaxed geometry (PBE).

The structure in CIF format:
```
data_La3AsO
_space_group_name_H-M_alt 'P m -3 m'
_space_group_IT_number 221
_space_group_name_Hall '-P 4 2 3'
_cell_length_a 4.942
_cell_length_b 4.942
_cell_length_c 4.942
_cell_angle_alpha 90.00
_cell_angle_beta 90.00
_cell_angle_gamma 90.00
loop_
_atom_site_label
_atom_site_fract_x
_atom_site_fract_y
_atom_site_fract_z
La1 0.000 0.000 0.500
As1 0.500 0.500 0.500
O1 0.000 0.000 0.000
```

## Properties
**Formation energy without anion corrections**: -1.546 eV/atom
**Energy above the most stable polymorph in this dataset**: 0.0 meV/atom



(5)
Entry from Alexandria: crystalline LaAsO3 at its relaxed geometry (PBE).

The structure in CIF format:
```
data_LaAsO3
_space_group_name_H-M_alt 'P m -3 m'
_space_group_IT_number 221
_space_group_name_Hall '-P 4 2 3'
_cell_length_a 4.048
_cell_length_b 4.048
_cell_length_c 4.048
_cell_angle_alpha 90.00
_cell_angle_beta 90.00
_cell_angle_gamma 90.00
loop_
_atom_site_label
_atom_site_fract_x
_atom_site_fract_y
_atom_site_fract_z
La1 0.000 0.000 0.000
As1 0.500 0.500 0.500
O1 0.000 0.500 0.500
```

## Properties
**Formation energy without anion corrections**: -1.938 eV/atom



(6)
Entry from Alexandria: crystalline La3AsO6 at its relaxed geometry (PBE).

The structure in CIF format:
```
data_La3AsO6
_space_group_name_H-M_alt 'C m c 21'
_space_group_IT_number 36
_space_group_name_Hall 'C 2c -2'
_cell_length_a 9.389
_cell_length_b 11.788
_cell_length_c 6.207
_cell_angle_alpha 90.00
_cell_angle_beta 90.00
_cell_angle_gamma 90.00
loop_
_atom_site_label
_atom_site_fract_x
_atom_site_fract_y
_atom_site_fract_z
La1 0.000 0.100 0.000
La2 0.197 0.391 0.963
As1 0.000 0.327 0.407
O1 0.000 0.281 0.874
O2 0.000 0.456 0.237
O3 0.148 0.249 0.284
O4 0.162 0.010 0.730
```

## Properties
**Formation energy without anion corrections**: -2.931 eV/atom